## w
# PBE SrW3Cl, relaxed
# **Calculated volume**: 122 Å³/cell
# **Spin magnetization**: 0.00 μB/cell
data_SrW3Cl
_cell_length_a 4.964
_cell_length_b 4.964
_cell_length_c 4.964
_cell_angle_alpha 90.00
_cell_angle_beta 90.00
_cell_angle_gamma 90.00
_space_group_name_H-M_alt 'P m -3 m'
_space_group_IT_number 221
_space_group_name_Hall '-P 4 2 3'
loop_
_atom_site_label
_atom_site_fract_x
_atom_site_fract_y
_atom_site_fract_z
Sr1 0.000 0.000 0.000
W1 0.000 0.000 0.500
Cl1 0.500 0.500 0.500

## x
# PBE SrW3Cl, relaxed
# **Calculated volume**: 98 Å³/cell
# **Spin magnetization**: 0.00 μB/cell
data_SrW3Cl
_cell_length_a 4.606
_cell_length_b 4.606
_cell_length_c 4.606
_cell_angle_alpha 90.00
_cell_angle_beta 90.00
_cell_angle_gamma 90.00
_space_group_name_H-M_alt 'P m -3 m'
_space_group_IT_number 221
_space_group_name_Hall '-P 4 2 3'
loop_
_atom_site_label
_atom_site_fract_x
_atom_site_fract_y
_atom_site_fract_z
Sr1 0.000 0.000 0.000
W1 0.000 0.500 0.500
Cl1 0.500 0.500 0.500

Computed relative energies in units of meV per atom: w 2357; x 0